First-principles (PBE) data for ZrAs2Se after structural relaxation, as listed in Alexandria.

abc: 4.6771 4.6771 3.5941
angles: 90.00 90.00 90.00
Sites, in units of the cell vectors:
Zr: 0.0000 0.0000 0.0000
As: 0.0000 0.5000 0.5000
As: 0.5000 0.0000 0.5000
Se: 0.5000 0.5000 0.0000

Summary:
E = -21.9 eV/cell
Formation energy without anion corrections = -0.1518 eV/atom
DOS(E_F) = 2.16 states/eV per cell